(P)
{"formula": "Pm2Ge4Ir3", "functional": "PBE-GGA", "state": "optimized geometry", "cell": [[2.887, -7.579, 0.000], [2.887, 7.579, 0.000], [0.000, 0.000, 7.519]], "species": ["Pm", "Pm", "Pm", "Pm", "Ge", "Ge", "Ge", "Ge", "Ge", "Ge", "Ge", "Ge", "Ir", "Ir", "Ir", "Ir", "Ir", "Ir"], "fractional_positions": [[0.110, 0.890, 0.909], [0.390, 0.610, 0.409], [0.610, 0.390, 0.591], [0.890, 0.110, 0.091], [0.183, 0.817, 0.527], [0.191, 0.309, 0.750], [0.309, 0.191, 0.250], [0.317, 0.683, 0.027], [0.683, 0.317, 0.973], [0.691, 0.809, 0.750], [0.809, 0.691, 0.250], [0.817, 0.183, 0.473], [0.000, 0.000, 0.500], [0.025, 0.475, 0.750], [0.475, 0.025, 0.250], [0.500, 0.500, 0.000], [0.525, 0.975, 0.750], [0.975, 0.525, 0.250]], "space_group": "Cmce"}

(Q)
{"formula": "Pm2Ge4Ir3", "functional": "PBE-GGA", "state": "optimized geometry", "cell": [[0.000, 4.917, 6.237], [2.814, 0.000, 6.237], [2.814, 4.917, 0.000]], "species": ["Pm", "Pm", "Ge", "Ge", "Ge", "Ge", "Ir", "Ir", "Ir"], "fractional_positions": [[0.132, 0.132, 0.868], [0.868, 0.868, 0.132], [0.174, 0.511, 0.489], [0.489, 0.826, 0.174], [0.511, 0.174, 0.826], [0.826, 0.489, 0.511], [0.000, 0.000, 0.500], [0.500, 0.500, 0.000], [0.500, 0.500, 0.500]], "space_group": "Fmmm"}

Stability, highest: (P)

(P)
{"formula": "Pm3Ge2Ir", "functional": "PBE-GGA", "state": "optimized geometry", "cell": [[12.033, 0.000, 0.000], [0.000, 4.323, 0.000], [0.000, 0.000, 11.529]], "species": ["Pm", "Pm", "Pm", "Pm", "Pm", "Pm", "Pm", "Pm", "Pm", "Pm", "Pm", "Pm", "Ge", "Ge", "Ge", "Ge", "Ge", "Ge", "Ge", "Ge", "Ir", "Ir", "Ir", "Ir"], "fractional_positions": [[0.055, 0.250, 0.128], [0.120, 0.750, 0.555], [0.223, 0.250, 0.801], [0.277, 0.750, 0.301], [0.380, 0.250, 0.055], [0.445, 0.750, 0.628], [0.555, 0.250, 0.372], [0.620, 0.750, 0.945], [0.723, 0.250, 0.699], [0.777, 0.750, 0.199], [0.880, 0.250, 0.445], [0.945, 0.750, 0.872], [0.014, 0.750, 0.311], [0.191, 0.750, 0.001], [0.309, 0.250, 0.501], [0.486, 0.250, 0.811], [0.514, 0.750, 0.189], [0.691, 0.750, 0.499], [0.809, 0.250, 0.999], [0.986, 0.250, 0.689], [0.130, 0.250, 0.370], [0.370, 0.750, 0.870], [0.630, 0.250, 0.130], [0.870, 0.750, 0.630]], "space_group": "Pnma"}

(Q)
{"formula": "Pm3Ge2Ir", "functional": "PBE-GGA", "state": "optimized geometry", "cell": [[3.953, 2.282, 5.879], [-3.953, 2.282, 5.879], [0.000, -4.565, 5.879]], "species": ["Pm", "Pm", "Pm", "Pm", "Pm", "Pm", "Ge", "Ge", "Ge", "Ge", "Ir", "Ir"], "fractional_positions": [[0.072, 0.750, 0.428], [0.250, 0.572, 0.928], [0.428, 0.072, 0.750], [0.572, 0.928, 0.250], [0.750, 0.428, 0.072], [0.928, 0.250, 0.572], [0.152, 0.152, 0.152], [0.348, 0.348, 0.348], [0.652, 0.652, 0.652], [0.848, 0.848, 0.848], [0.000, 0.000, 0.000], [0.500, 0.500, 0.500]], "space_group": "R-3c"}

Stability, highest: (P)

(P)
{"formula": "Pm8GeIr2", "functional": "PBE-GGA", "state": "optimized geometry", "cell": [[4.293, -6.400, 0.000], [4.293, 6.400, 0.000], [-1.950, 0.000, 5.971]], "species": ["Pm", "Pm", "Pm", "Pm", "Pm", "Pm", "Pm", "Pm", "Ge", "Ir", "Ir"], "fractional_positions": [[0.000, 0.000, 0.000], [0.013, 0.281, 0.575], [0.135, 0.577, 0.188], [0.281, 0.013, 0.575], [0.430, 0.695, 0.789], [0.577, 0.135, 0.188], [0.695, 0.430, 0.789], [0.727, 0.727, 0.393], [0.362, 0.362, 0.374], [0.042, 0.669, 0.696], [0.669, 0.042, 0.696]], "space_group": "Cm"}

(Q)
{"formula": "Pm8GeIr2", "functional": "PBE-GGA", "state": "optimized geometry", "cell": [[9.013, -2.499, 0.000], [9.013, 2.499, 0.000], [-2.015, 0.000, 6.852]], "species": ["Pm", "Pm", "Pm", "Pm", "Pm", "Pm", "Pm", "Pm", "Ge", "Ir", "Ir"], "fractional_positions": [[0.036, 0.036, 0.274], [0.202, 0.202, 0.817], [0.329, 0.329, 0.539], [0.406, 0.406, 0.047], [0.594, 0.594, 0.953], [0.671, 0.671, 0.461], [0.798, 0.798, 0.183], [0.964, 0.964, 0.726], [0.500, 0.500, 0.500], [0.192, 0.192, 0.210], [0.808, 0.808, 0.790]], "space_group": "C2/m"}

Stability, highest: (Q)